# 1
Here is an optimized crystal structure of AcLa2Y from the Alexandria database. Energies are from GGA-PBE.

Unit cell a=3.7901 b=7.4509 c=6.4736 alpha=54.87 beta=90.00 gamma=90.00
With the nearest neighbours (Å) after each atom.
Fractional positions:
Ac (0.5000, 0.0000, 0.5000)  2 Y 3.73, 8 La 3.75, 2 Ac 3.79
Y (0.5000, 0.5000, 0.5000)  2 Ac 3.73, 8 La 3.75, 2 Y 3.79
La (0.0000, 0.5000, 0.0000)  4 La 3.73-3.79, 4 Ac 3.75, 4 Y 3.75
La (0.0000, 0.0000, 0.0000)  4 La 3.73-3.79, 4 Y 3.75, 4 Ac 3.75

Results
- total moment (Bohr magnetons per cell) = 0.0
- energy (eV/cell) = -20.4
- offset from the most stable computed form (eV/atom) = 0.001
- energy relative to the elements (eV/f.u.) = 0.07
- density (g cm⁻³) = 6.594



# 2
Here is an optimized crystal structure of Ac2La8Y3 from the Alexandria database. Energies are from GGA-PBE.

Unit cell a=6.3410 b=9.1729 c=9.1729 alpha=82.54 beta=72.81 gamma=72.81
With the nearest neighbours (Å) after each atom.
Fractional positions:
La (0.6547, 0.5946, 0.0877)  2 La 3.37-3.75, 1 Ac 3.60, 2 Y 3.60-3.66
La (0.6547, 0.0877, 0.5946)  2 La 3.37-3.75, 1 Ac 3.60, 2 Y 3.60-3.66
La (0.9019, 0.1383, 0.1383)  1 Ac 3.49, 4 Y 3.51-3.74, 2 La 3.52-3.60
La (0.0981, 0.8617, 0.8617)  1 Ac 3.49, 4 Y 3.51-3.74, 2 La 3.52-3.60
La (0.3453, 0.9123, 0.4054)  2 La 3.37-3.75, 1 Ac 3.60, 2 Y 3.60-3.66
La (0.3453, 0.4054, 0.9123)  2 La 3.37-3.75, 1 Ac 3.60, 2 Y 3.60-3.66
La (0.7403, 0.4198, 0.4198)  1 La 2.98
La (0.2597, 0.5802, 0.5802)  1 La 2.98
Y (0.5000, 0.0000, 0.0000)  8 La 3.51-3.74
Y (0.0000, 0.2615, 0.7385)  8 La 3.62-3.86, 2 Ac 3.91
Y (0.0000, 0.7385, 0.2615)  8 La 3.62-3.86, 2 Ac 3.91
Ac (0.3248, 0.3086, 0.3086)  6 La 3.41-3.60
Ac (0.6752, 0.6914, 0.6914)  6 La 3.41-3.60

Results
- total moment (Bohr magnetons per cell) = 0.0
- energy (eV/cell) = -65.0
- energy relative to the elements (eV/f.u.) = 2.01
- density (g cm⁻³) = 6.254